VASP calculation (PBEsol) on RbPb2Au2 after structural relaxation.

Cell lengths 5.0231, 5.0231, 11.6158 Å; angles 90.00, 90.00, 90.00 degrees
Fractional positions:
1 Rb 0.0000 0.0000 0.0000
2 Rb 0.5000 0.5000 0.5000
3 Pb 0.0000 0.0000 0.3603
4 Pb 0.0000 0.0000 0.6397
5 Pb 0.5000 0.5000 0.1397
6 Pb 0.5000 0.5000 0.8603
7 Au 0.0000 0.5000 0.2500
8 Au 0.0000 0.5000 0.7500
9 Au 0.5000 0.0000 0.2500
10 Au 0.5000 0.0000 0.7500

Properties
energy relative to the elements: -54 kJ/mol of formula units
total magnetization: 0.00 Bohr magnetons per cell

VASP calculation (PBEsol) on RePbAu4 after structural relaxation.

Cell lengths 5.4565, 5.4565, 5.4565 Å; angles 60.00, 60.00, 60.00 degrees
Fractional positions:
1 Re 0.0000 0.0000 0.0000
2 Pb 0.7500 0.7500 0.7500
3 Au 0.3745 0.3745 0.3745
4 Au 0.3745 0.3745 0.8765
5 Au 0.3745 0.8765 0.3745
6 Au 0.8765 0.3745 0.3745

Properties
energy relative to the elements: 429 kJ/mol of formula units
total magnetization: 3.25 Bohr magnetons per cell

VASP calculation (PBEsol) on Re2PbAu after structural relaxation.

Cell lengths 2.9142, 2.9142, 29.0977 Å; angles 90.00, 90.00, 120.00 degrees
Fractional positions:
1 Re 0.0000 0.0000 0.0000
2 Re 0.0000 0.0000 0.2651
3 Re 0.3333 0.6667 0.6667
4 Re 0.3333 0.6667 0.9318
5 Re 0.6667 0.3333 0.3333
6 Re 0.6667 0.3333 0.5984
7 Pb 0.0000 0.0000 0.5099
8 Pb 0.3333 0.6667 0.1765
9 Pb 0.6667 0.3333 0.8432
10 Au 0.0000 0.0000 0.7472
11 Au 0.3333 0.6667 0.4139
12 Au 0.6667 0.3333 0.0806

Properties
energy relative to the elements: 192 kJ/mol of formula units
total magnetization: 0.00 Bohr magnetons per cell

VASP calculation (PBEsol) on Re2PbAu after structural relaxation.

Cell lengths 3.3158, 4.4551, 9.5889 Å; angles 90.00, 90.00, 90.00 degrees
Fractional positions:
1 Re 0.0000 0.0000 0.2300
2 Re 0.0000 0.0000 0.7700
3 Re 0.5000 0.5000 0.2300
4 Re 0.5000 0.5000 0.7700
5 Pb 0.0000 0.5000 0.5000
6 Pb 0.5000 0.0000 0.5000
7 Au 0.0000 0.5000 0.0000
8 Au 0.5000 0.0000 0.0000

Properties
energy relative to the elements: 447 kJ/mol of formula units
total magnetization: 0.00 Bohr magnetons per cell

VASP calculation (PBEsol) on RePb2Au after structural relaxation.

Cell lengths 6.8820, 6.8820, 6.8820 Å; angles 90.00, 90.00, 90.00 degrees
Fractional positions:
1 Re 0.0000 0.0000 0.0000
2 Re 0.0000 0.5000 0.5000
3 Re 0.5000 0.0000 0.5000
4 Re 0.5000 0.5000 0.0000
5 Pb 0.2500 0.2500 0.2500
6 Pb 0.2500 0.2500 0.7500
7 Pb 0.2500 0.7500 0.2500
8 Pb 0.2500 0.7500 0.7500
9 Pb 0.7500 0.2500 0.2500
10 Pb 0.7500 0.2500 0.7500
11 Pb 0.7500 0.7500 0.2500
12 Pb 0.7500 0.7500 0.7500
13 Au 0.0000 0.0000 0.5000
14 Au 0.0000 0.5000 0.0000
15 Au 0.5000 0.0000 0.0000
16 Au 0.5000 0.5000 0.5000

Properties
energy relative to the elements: 360 kJ/mol of formula units
total magnetization: 0.00 Bohr magnetons per cell

VASP calculation (PBEsol) on RePb2Au after structural relaxation.

Cell lengths 3.0862, 3.0862, 9.1799 Å; angles 90.00, 90.00, 90.00 degrees
Fractional positions:
1 Re 0.0000 0.0000 0.0000
2 Pb 0.0000 0.0000 0.4177
3 Pb 0.5000 0.5000 0.7730
4 Au 0.5000 0.5000 0.1818

Properties
energy relative to the elements: 222 kJ/mol of formula units
total magnetization: 0.42 Bohr magnetons per cell

VASP calculation (PBEsol) on RePb2Au after structural relaxation.

Cell lengths 3.2598, 5.0057, 10.4753 Å; angles 90.00, 90.00, 90.00 degrees
Fractional positions:
1 Re 0.0000 0.0000 0.0000
2 Re 0.5000 0.5000 0.0000
3 Pb 0.0000 0.5000 0.2301
4 Pb 0.0000 0.5000 0.7699
5 Pb 0.5000 0.0000 0.2301
6 Pb 0.5000 0.0000 0.7699
7 Au 0.0000 0.0000 0.5000
8 Au 0.5000 0.5000 0.5000

Properties
energy relative to the elements: 319 kJ/mol of formula units
total magnetization: 0.00 Bohr magnetons per cell

VASP calculation (PBEsol) on RhPbAu2 after structural relaxation.

Cell lengths 3.3222, 3.6899, 5.8751 Å; angles 90.00, 90.00, 90.00 degrees
Fractional positions:
1 Rh 0.0000 0.0000 0.0000
2 Pb 0.5000 0.5000 0.7749
3 Au 0.0000 0.0000 0.4776
4 Au 0.5000 0.5000 0.2593

Properties
energy relative to the elements: 45 kJ/mol of formula units
total magnetization: 0.00 Bohr magnetons per cell